No. 1
Compound: FeCo2Sb
Source: Alexandria via LeMat-Bulk
Functional: PBE
Structure: optimized geometry

a = 3.005 Å, b = 3.288 Å, c = 5.564 Å
α = 90.00°, β = 90.00°, γ = 90.00°
Element x y z (fractional)
Fe  0.000  0.000  0.000
Co  0.500  0.500  0.230
Co  0.500  0.500  0.770
Sb  0.000  0.000  0.500

Calculated volume (Å³/cell): 55
Uncorrected formation energy (kJ per mole of atoms): 16.8
Total DFT energy (no corrections) (eV per atom): -6.525
Space-group type: Pmmm, No. 47



No. 2
Compound: FeCoSb
Source: Alexandria via LeMat-Bulk
Functional: PBE
Structure: optimized geometry

a = 4.627 Å, b = 4.627 Å, c = 4.627 Å
α = 141.01°, β = 134.65°, γ = 61.31°
Element x y z (fractional)
Fe  0.000  0.000  0.000
Co  0.347  0.347  0.000
Sb  0.675  0.675  0.000

Calculated volume (Å³/cell): 44
Uncorrected formation energy (kJ per mole of atoms): 21.4
Total DFT energy (no corrections) (eV per atom): -6.342
Space-group type: Imm2, No. 44



No. 3
Compound: FeCo2Sb
Source: Alexandria via LeMat-Bulk
Functional: PBE
Structure: optimized geometry

a = 4.919 Å, b = 4.919 Å, c = 2.863 Å
α = 103.82°, β = 103.82°, γ = 115.88°
Element x y z (fractional)
Fe  0.000  0.000  0.000
Co  0.000  0.500  0.500
Co  0.500  0.000  0.500
Sb  0.500  0.500  0.000

Calculated volume (Å³/cell): 56
Uncorrected formation energy (kJ per mole of atoms): 32.0
Total DFT energy (no corrections) (eV per atom): -6.368
Space-group type: C2/m, No. 12



No. 4
Compound: FeCo2Sb
Source: Alexandria via LeMat-Bulk
Functional: PBE
Structure: optimized geometry

a = 7.715 Å, b = 7.715 Å, c = 7.715 Å
α = 22.42°, β = 22.42°, γ = 22.42°
Element x y z (fractional)
Fe  0.000  0.000  0.000
Co  0.260  0.260  0.260
Co  0.515  0.515  0.515
Sb  0.761  0.761  0.761

Calculated volume (Å³/cell): 59
Uncorrected formation energy (kJ per mole of atoms): 45.2
Total DFT energy (no corrections) (eV per atom): -6.231
Space-group type: R3m, No. 160



No. 5
Compound: FeCoSb
Source: Alexandria via LeMat-Bulk
Functional: PBE
Structure: optimized geometry

a = 4.151 Å, b = 4.151 Å, c = 2.977 Å
α = 90.00°, β = 90.00°, γ = 120.00°
Element x y z (fractional)
Fe  0.000  0.000  0.000
Co  0.333  0.667  0.622
Sb  0.667  0.333  0.392

Calculated volume (Å³/cell): 44
Uncorrected formation energy (kJ per mole of atoms): 28.3
Total DFT energy (no corrections) (eV per atom): -6.271
Space-group type: P3m1, No. 156



No. 6
Compound: FeCo2Sb
Source: Alexandria via LeMat-Bulk
Functional: PBE
Structure: optimized geometry

a = 4.205 Å, b = 4.205 Å, c = 4.205 Å
α = 60.00°, β = 60.00°, γ = 60.00°
Element x y z (fractional)
Fe  0.000  0.000  0.000
Co  0.250  0.250  0.250
Co  0.500  0.500  0.500
Sb  0.750  0.750  0.750

Calculated volume (Å³/cell): 53
Uncorrected formation energy (kJ per mole of atoms): 12.3
Total DFT energy (no corrections) (eV per atom): -6.571
Space-group type: F-43m, No. 216



No. 7
Compound: FeCo2Sb
Source: Alexandria via LeMat-Bulk
Functional: PBE
Structure: optimized geometry

a = 2.857 Å, b = 4.119 Å, c = 4.817 Å
α = 90.00°, β = 94.79°, γ = 90.00°
Element x y z (fractional)
Fe  0.000  0.000  0.000
Co  0.269  0.500  0.779
Co  0.731  0.500  0.221
Sb  0.500  0.000  0.500

Calculated volume (Å³/cell): 56
Uncorrected formation energy (kJ per mole of atoms): 28.6
Total DFT energy (no corrections) (eV per atom): -6.403
Space-group type: P2/m, No. 10



No. 8
Compound: FeCo2Sb
Source: Alexandria via LeMat-Bulk
Functional: PBE
Structure: optimized geometry

a = 4.673 Å, b = 4.673 Å, c = 4.673 Å
α = 133.50°, β = 133.50°, γ = 67.87°
Element x y z (fractional)
Fe  0.000  0.000  0.000
Co  0.250  0.750  0.500
Co  0.500  0.500  0.000
Sb  0.750  0.250  0.500

Calculated volume (Å³/cell): 53
Uncorrected formation energy (kJ per mole of atoms): 8.7
Total DFT energy (no corrections) (eV per atom): -6.609
Space-group type: I-4m2, No. 119



No. 9
Compound: FeCo2Sb
Source: Alexandria via LeMat-Bulk
Functional: PBE
Structure: optimized geometry

a = 3.272 Å, b = 3.272 Å, c = 5.215 Å
α = 90.00°, β = 90.00°, γ = 90.00°
Element x y z (fractional)
Fe  0.000  0.000  0.000
Co  0.000  0.000  0.537
Co  0.500  0.500  0.817
Sb  0.500  0.500  0.316

Calculated volume (Å³/cell): 56
Uncorrected formation energy (kJ per mole of atoms): 22.6
Total DFT energy (no corrections) (eV per atom): -6.464
Space-group type: P4mm, No. 99



No. 10
Compound: FeCo2Sb
Source: Alexandria via LeMat-Bulk
Functional: PBE
Structure: optimized geometry

a = 3.843 Å, b = 3.843 Å, c = 3.549 Å
α = 90.00°, β = 90.00°, γ = 90.00°
Element x y z (fractional)
Fe  0.000  0.000  0.000
Co  0.000  0.500  0.500
Co  0.500  0.000  0.500
Sb  0.500  0.500  0.000

Calculated volume (Å³/cell): 52
Uncorrected formation energy (kJ per mole of atoms): 9.5
Total DFT energy (no corrections) (eV per atom): -6.601
Space-group type: P4/mmm, No. 123



No. 11
Compound: FeCo2Sb
Source: Alexandria via LeMat-Bulk
Functional: PBE
Structure: optimized geometry

a = 8.791 Å, b = 8.791 Å, c = 8.791 Å
α = 155.16°, β = 155.16°, γ = 35.41°
Element x y z (fractional)
Fe  0.000  0.000  0.000
Fe  0.750  0.250  0.500
Co  0.086  0.625  0.961
Co  0.375  0.336  0.461
Co  0.664  0.125  0.039
Co  0.875  0.914  0.539
Sb  0.250  0.750  0.500
Sb  0.500  0.500  0.000

Calculated volume (Å³/cell): 120
Uncorrected formation energy (kJ per mole of atoms): 45.6
Total DFT energy (no corrections) (eV per atom): -6.227
Space-group type: I-42d, No. 122



No. 12
Compound: Fe2CoSb2
Source: Alexandria via LeMat-Bulk
Functional: PBE
Structure: optimized geometry

a = 6.922 Å, b = 6.922 Å, c = 3.435 Å
α = 90.00°, β = 90.00°, γ = 90.00°
Element x y z (fractional)
Fe  0.130  0.370  0.000
Fe  0.370  0.870  0.000
Fe  0.630  0.130  0.000
Fe  0.870  0.630  0.000
Co  0.000  0.000  0.500
Co  0.500  0.500  0.500
Sb  0.166  0.666  0.500
Sb  0.334  0.166  0.500
Sb  0.666  0.834  0.500
Sb  0.834  0.334  0.500

Calculated volume (Å³/cell): 165
Uncorrected formation energy (kJ per mole of atoms): 39.7
Total DFT energy (no corrections) (eV per atom): -6.044
Space-group type: P4/mbm, No. 127